GaReS2N | Alexandria | PBEsol | optimized geometry; energy relative to the elements, uncorrected = 1348.4 meV/atom; density of states at the Fermi level = 3.8 states/eV/cell; M_tot = 3.53 μB per formula unit; calculated density = 7.14 g/cm3
1.0
-1.403 -2.876 1.320
1.830 1.054 4.240
-3.925 2.417 1.093
S Re N Ga
2 1 1 1
Cartesian
-1.962 1.208 0.547
0.915 0.527 2.120
-1.749 0.298 3.327
-0.702 -1.438 0.660
0.000 0.000 0.000

***

GaRu3N | Alexandria | PBEsol | optimized geometry; energy relative to the elements, uncorrected = 2783.3 meV/atom; density of states at the Fermi level = 6.4 states/eV/cell; M_tot = 1.77 μB per formula unit; calculated density = 7.29 g/cm3
1.0
4.451 0.000 0.000
0.000 4.451 0.000
0.000 0.000 4.451
Ga Ru N
1 3 1
Cartesian
0.000 0.000 0.000
0.000 2.226 0.000
2.226 0.000 0.000
0.000 0.000 2.226
2.226 2.226 2.226